Entry 1:
A relaxed Re3AgS5 crystal. Source: OQMD, functional PBE-GGA.

Cell: 5.5269 5.5269 6.7998 Å, 90.00 90.00 120.00°
Space group P6/mmm (No. 191)
Symmetry-distinct sites (fractional):
Re  0.0000  0.5000  0.0000 [3 per cell]
Ag  0.0000  0.0000  0.5000 [1 per cell]
S  0.0000  0.0000  0.0000 [1 per cell]
S  0.3333  0.6667  0.2626 [4 per cell]

Calculated values
ρ: 7.633 g/cm3

---

Entry 2:
A relaxed ScReAg2S6 crystal. Source: OQMD, functional PBE-GGA.

Cell: 9.562 9.562 9.562 Å, 90.00 90.00 90.00°
Space group Fm-3m (No. 225)
Symmetry-distinct sites (fractional):
Sc  0.000  0.000  0.000 [4 per cell]
Re  0.000  0.000  0.500 [4 per cell]
Ag  0.250  0.250  0.250 [8 per cell]
S  0.000  0.000  0.258 [24 per cell]

Calculated values
ρ: 4.857 g/cm3

---

Entry 3:
A relaxed TlReAgTe2S crystal. Source: OQMD, functional PBE-GGA.

Cell: 4.035 14.933 9.999 Å, 90.00 90.00 90.00°
Space group Cmcm (No. 63)
Symmetry-distinct sites (fractional):
Tl  0.000  0.248  0.250 [4 per cell]
Re  0.000  0.000  0.000 [4 per cell]
Ag  0.000  0.468  0.750 [4 per cell]
Te  0.000  0.375  0.520 [8 per cell]
S  0.000  0.063  0.750 [4 per cell]

Calculated values
ρ: 8.662 g/cm3

---

Entry 4:
A relaxed TlReAgTeS2 crystal. Source: OQMD, functional PBE-GGA.

Cell: 3.312 16.528 10.462 Å, 90.00 90.00 90.00°
Space group Cmcm (No. 63)
Symmetry-distinct sites (fractional):
Tl  0.000  0.202  0.250 [4 per cell]
Re  0.000  0.500  0.000 [4 per cell]
Ag  0.000  0.146  0.750 [4 per cell]
Te  0.000  0.462  0.750 [4 per cell]
S  0.000  0.106  0.521 [8 per cell]

Calculated values
ρ: 8.005 g/cm3

---

Entry 5:
A relaxed ZnReAg2S6 crystal. Source: OQMD, functional PBE-GGA.

Cell: 9.428 9.428 9.428 Å, 90.00 90.00 90.00°
Space group Fm-3m (No. 225)
Symmetry-distinct sites (fractional):
Zn  0.000  0.000  0.000 [4 per cell]
Re  0.000  0.000  0.500 [4 per cell]
Ag  0.250  0.250  0.250 [8 per cell]
S  0.000  0.000  0.254 [24 per cell]

Calculated values
ρ: 5.229 g/cm3

---

Entry 6:
A relaxed ZrReAg2S6 crystal. Source: OQMD, functional PBE-GGA.

Cell: 9.615 9.615 9.615 Å, 90.00 90.00 90.00°
Space group Fm-3m (No. 225)
Symmetry-distinct sites (fractional):
Zr  0.000  0.000  0.000 [4 per cell]
Re  0.000  0.000  0.500 [4 per cell]
Ag  0.250  0.250  0.250 [8 per cell]
S  0.000  0.000  0.259 [24 per cell]

Calculated values
ρ: 5.123 g/cm3

---

Entry 7:
A relaxed ReAg2Sb crystal. Source: OQMD, functional PBE-GGA.

Cell: 6.576 6.576 6.576 Å, 90.00 90.00 90.00°
Space group F-43m (No. 216)
Symmetry-distinct sites (fractional):
Re  0.000  0.000  0.000 [4 per cell]
Ag  0.000  0.000  0.500 [4 per cell]
Ag  0.250  0.250  0.250 [4 per cell]
Sb  0.250  0.250  0.750 [4 per cell]

Calculated values
ρ: 12.232 g/cm3

---

Entry 8:
A relaxed Re3AgSn5 crystal. Source: OQMD, functional PBE-GGA.

Cell: 5.4044 5.4044 8.2450 Å, 90.00 90.00 120.00°
Space group P6/mmm (No. 191)
Symmetry-distinct sites (fractional):
Re  0.0000  0.5000  0.0000 [3 per cell]
Ag  0.0000  0.0000  0.5000 [1 per cell]
Sn  0.0000  0.0000  0.0000 [1 per cell]
Sn  0.3333  0.6667  0.3014 [4 per cell]

Calculated values
ρ: 10.033 g/cm3

---

Entry 9:
A relaxed ReAgSn crystal. Source: OQMD, functional PBE-GGA.

Cell: 6.364 6.364 6.364 Å, 90.00 90.00 90.00°
Space group F-43m (No. 216)
Symmetry-distinct sites (fractional):
Re  0.000  0.000  0.000 [4 per cell]
Ag  0.250  0.250  0.750 [4 per cell]
Sn  0.250  0.250  0.250 [4 per cell]

Calculated values
Energy relative to the lowest polymorph listed for this composition: 0.000 eV/atom
ρ: 10.637 g/cm3

---

Entry 10:
A relaxed Re2AgSn crystal. Source: OQMD, functional PBE-GGA.

Cell: 6.454 6.454 6.454 Å, 90.00 90.00 90.00°
Space group F-43m (No. 216)
Symmetry-distinct sites (fractional):
Re  0.000  0.000  0.000 [4 per cell]
Re  0.250  0.250  0.250 [4 per cell]
Ag  0.250  0.250  0.750 [4 per cell]
Sn  0.000  0.000  0.500 [4 per cell]

Calculated values
ρ: 14.800 g/cm3

---

Entry 11:
A relaxed Sr3Re2Ag2 crystal. Source: OQMD, functional PBE-GGA.

Cell: 5.2450 5.2450 25.5979 Å, 90.00 90.00 120.00°
Space group R3m (No. 160, hexagonal axes)
Symmetry-distinct sites (fractional):
Sr  0.0000  0.0000  0.0000 [3 per cell]
Sr  0.0000  0.0000  0.2458 [3 per cell]
Sr  0.0000  0.0000  0.4921 [3 per cell]
Re  0.0000  0.0000  0.1200 [3 per cell]
Re  0.0000  0.0000  0.6277 [3 per cell]
Ag  0.0000  0.0000  0.3734 [3 per cell]
Ag  0.0000  0.0000  0.8607 [3 per cell]

Calculated values
ρ: 6.952 g/cm3

---

Entry 12:
A relaxed SrRe2Ag crystal. Source: OQMD, functional PBE-GGA.

Cell: 6.675 6.675 6.675 Å, 90.00 90.00 90.00°
Space group F-43m (No. 216)
Symmetry-distinct sites (fractional):
Sr  0.000  0.000  0.000 [4 per cell]
Re  0.000  0.000  0.500 [4 per cell]
Re  0.250  0.250  0.750 [4 per cell]
Ag  0.250  0.250  0.250 [4 per cell]

Calculated values
ρ: 12.682 g/cm3

---

| no. | calculated total energy (eV/f.u.) |
| --- | --- |
| 1 | -58.31 |
| 2 | -49.88 |
| 3 | -26.79 |
| 4 | -29.09 |
| 5 | -40.24 |
| 6 | -52.16 |
| 7 | -19.66 |
| 8 | -56.87 |
| 9 | -16.61 |
| 10 | -28.88 |
| 11 | -26.71 |
| 12 | -25.28 |